# 1
This record from Alexandria via LeMat-Bulk describes crystalline ZrUP2N at its relaxed geometry. The functional is GGA-PBE.

Computed properties:
Crystal system = tetragonal
Energy relative to the elements, uncorrected = -1.1456 eV per atom

abc: 3.7198 3.7198 12.6023
angles: 90.00 90.00 90.00
Closest atoms and distances in Å follow each position.
Fractional positions:
U1 0.5000 0.0000 0.5990  4 N 2.24
U2 0.0000 0.5000 0.4010  4 N 2.24
P1 0.5000 0.0000 0.8820  5 Zr 2.64-2.72
P2 0.5000 0.0000 0.3073  1 Zr 2.64, 4 U 2.88
P3 0.0000 0.5000 0.6927  1 Zr 2.64, 4 U 2.88
P4 0.0000 0.5000 0.1180  5 Zr 2.64-2.72
Zr1 0.0000 0.5000 0.9023  6 P 2.64-2.72
Zr2 0.5000 0.0000 0.0977  6 P 2.64-2.72
N1 0.0000 0.0000 0.5000  4 U 2.24
N2 0.5000 0.5000 0.5000  4 U 2.24

=====

# 2
This record from Alexandria via LeMat-Bulk describes crystalline LiBeBr4 at its relaxed geometry. The functional is GGA-PBE.

Computed properties:
Crystal system = cubic
Energy relative to the elements, uncorrected = 0.5731 eV per atom

abc: 6.4244 6.4244 6.4244
angles: 60.00 60.00 60.00
Closest atoms and distances in Å follow each position.
Fractional positions:
Br1 0.8766 0.3745 0.3745  6 Br 3.20-3.23
Br2 0.3745 0.3745 0.3745  6 Br 3.20-3.23
Br3 0.3745 0.3745 0.8766  6 Br 3.20-3.23
Br4 0.3745 0.8766 0.3745  6 Br 3.20-3.23
Li1 0.7500 0.7500 0.7500  12 Br 3.77, 4 Be 3.93
Be1 0.0000 0.0000 0.0000  12 Br 3.77, 4 Li 3.93